No. 1
Here is a geometry-optimized K2LiTc structure from Alexandria via LeMat-Bulk. Energies are from PBE.

Results
E above lowest polymorph: 291 meV/atom
ΔE_f: 1.200 eV/atom

a b c (Å): 6.371 6.371 6.371
angles (deg): 133.11 133.11 68.48
Last column: magnetic moment on the atom in μB.
Fractional positions:
K1 0.500 0.500 0.000  -0.01
Li1 0.250 0.750 0.500  -0.04
K2 0.000 0.000 0.000  -0.01
Tc1 0.750 0.250 0.500  2.96

***

No. 2
Here is a geometry-optimized Nd5Mg12Cd3 structure from Alexandria via LeMat-Bulk. Energies are from PBE.

Results
ΔE_f: 0.559 eV/atom

a b c (Å): 15.369 15.369 15.369
angles (deg): 109.47 109.47 109.47
Fractional positions:
Mg1 0.257 0.399 0.846
Mg2 0.858 0.601 0.947
Nd1 0.500 0.000 0.500
Mg3 0.911 0.553 0.154
Nd2 0.500 0.000 0.000
Mg4 0.142 0.399 0.053
Cd1 0.250 0.625 0.875
Cd2 0.125 0.250 0.875
Cd3 0.375 0.625 0.250
Nd3 0.250 0.375 0.625
Mg5 0.947 0.101 0.858
Mg6 0.858 0.257 0.411
Mg7 0.243 0.589 0.642
Mg8 0.053 0.899 0.142
Mg9 0.358 0.911 0.757
Mg10 0.601 0.858 0.447
Mg11 0.846 0.899 0.257
Nd4 0.000 0.000 0.000
Mg12 0.399 0.257 0.346
Nd5 0.875 0.250 0.625
Mg13 0.346 0.757 0.399
Mg14 0.101 0.947 0.358
Mg15 0.154 0.101 0.743
Cd4 0.625 0.250 0.375
Mg16 0.142 0.743 0.589
Mg17 0.654 0.411 0.553
Cd5 0.375 0.750 0.625
Nd6 0.750 0.125 0.875
Mg18 0.947 0.846 0.589
Mg19 0.589 0.243 0.142
Mg20 0.089 0.447 0.846
Mg21 0.089 0.642 0.743
Nd7 0.375 0.125 0.750
Nd8 0.375 0.250 0.125
Cd6 0.750 0.375 0.125
Nd9 0.625 0.875 0.250
Nd10 0.875 0.625 0.750
Mg22 0.654 0.243 0.601
Mg23 0.589 0.346 0.947
Mg24 0.899 0.846 0.757
Mg25 0.358 0.447 0.101
Mg26 0.243 0.654 0.101
Nd11 0.500 0.500 0.000
Mg27 0.101 0.154 0.243
Mg28 0.346 0.589 0.447
Mg29 0.642 0.089 0.243
Nd12 0.000 0.000 0.500
Mg30 0.154 0.053 0.911
Mg31 0.601 0.743 0.654
Nd13 0.125 0.750 0.375
Nd14 0.125 0.375 0.250
Nd15 0.000 0.500 0.500
Mg32 0.553 0.911 0.654
Cd7 0.625 0.375 0.750
Nd16 0.750 0.625 0.375
Nd17 0.250 0.875 0.125
Nd18 0.000 0.500 0.000
Mg33 0.257 0.858 0.911
Mg34 0.743 0.142 0.089
Mg35 0.553 0.642 0.399
Cd8 0.125 0.875 0.750
Mg36 0.846 0.947 0.089
Mg37 0.447 0.089 0.346
Mg38 0.053 0.154 0.411
Cd9 0.250 0.125 0.375
Mg39 0.411 0.654 0.053
Mg40 0.757 0.346 0.899
Nd19 0.625 0.750 0.875
Mg41 0.743 0.601 0.154
Mg42 0.899 0.053 0.642
Nd20 0.500 0.500 0.500
Mg43 0.911 0.358 0.257
Mg44 0.447 0.358 0.601
Mg45 0.399 0.142 0.553
Mg46 0.757 0.411 0.358
Mg47 0.411 0.757 0.858
Cd10 0.875 0.125 0.250
Cd11 0.750 0.875 0.625
Mg48 0.642 0.553 0.899
Cd12 0.875 0.750 0.125

***

No. 3
Here is a geometry-optimized Tb2ThCd structure from Alexandria via LeMat-Bulk. Energies are from PBE.

Results
E above lowest polymorph: 133 meV/atom
ΔE_f: -0.037 eV/atom

a b c (Å): 4.881 4.894 4.894
angles (deg): 90.00 90.00 90.00
Fractional positions:
Th1 0.500 0.500 0.500
Tb1 0.000 0.500 0.000
Tb2 0.000 0.000 0.500
Cd1 0.500 0.000 0.000

***

No. 4
Here is a geometry-optimized Tb6YZr structure from Alexandria via LeMat-Bulk. Energies are from PBE.

Results
ΔE_f: 0.231 eV/atom

a b c (Å): 7.126 6.435 6.572
angles (deg): 95.11 57.18 99.46
Fractional positions:
Tb1 0.079 0.772 0.451
Tb2 0.405 0.243 0.000
Y1 0.000 0.500 0.000
Zr1 0.000 0.000 0.000
Tb3 0.470 0.228 0.451
Tb4 0.595 0.757 0.000
Tb5 0.530 0.772 0.549
Tb6 0.921 0.228 0.549

***

No. 5
Here is a geometry-optimized Fe2AgHg structure from Alexandria via LeMat-Bulk. Energies are from PBE.

Results
ΔE_f: 0.278 eV/atom

a b c (Å): 3.032 3.032 6.927
angles (deg): 90.00 90.00 90.00
Last column: magnetic moment on the atom in μB.
Fractional positions:
Fe1 0.000 0.000 0.040  2.70
Fe2 0.500 0.500 0.203  2.54
Ag1 0.500 0.500 0.782  0.01
Hg1 0.000 0.000 0.475  -0.02

***

No. 6
Here is a geometry-optimized Rb2CdC structure from Alexandria via LeMat-Bulk. Energies are from PBE.

Results
E above lowest polymorph: 0 meV/atom
ΔE_f: 0.801 eV/atom

a b c (Å): 12.827 12.827 9.308
angles (deg): 46.44 46.44 90.00
Fractional positions:
C1 0.250 0.750 0.500
Rb1 0.875 0.667 0.750
Rb2 0.417 0.125 0.250
Rb3 0.333 0.625 0.250
Cd1 0.750 0.250 0.500
Cd2 0.000 0.000 0.000
C2 0.500 0.500 0.000
Rb4 0.375 0.583 0.750

***

No. 7
Here is a geometry-optimized LaSmI structure from Alexandria via LeMat-Bulk. Energies are from PBE.

Results
Uncorrected formation energy: -54.0 kJ/mol of atoms
E above lowest polymorph: 0 meV/atom

a b c (Å): 3.943 3.943 7.949
angles (deg): 90.00 90.00 120.00
Last column: magnetic moment on the atom in μB.
Fractional positions:
Sm1 0.333 0.667 0.650  0.14
La1 0.000 0.000 0.008  0.10
I1 0.667 0.333 0.341  0.00

***

No. 8
Here is a geometry-optimized LaSnP2O structure from Alexandria via LeMat-Bulk. Energies are from PBE.

Results
Uncorrected formation energy: -57.0 kJ/mol of atoms
E above lowest polymorph: 0 meV/atom

a b c (Å): 5.081 5.081 4.123
angles (deg): 90.00 90.00 90.00
Fractional positions:
La1 0.500 0.500 0.500
P1 0.500 0.000 0.000
O1 0.000 0.000 0.500
P2 0.000 0.500 0.000
Sn1 0.000 0.000 0.000

***

No. 9
Here is a geometry-optimized LiP2Br structure from Alexandria via LeMat-Bulk. Energies are from PBE.

Results
Uncorrected formation energy: 6.2 kJ/mol of atoms
E above lowest polymorph: 563 meV/atom

a b c (Å): 8.109 8.109 4.256
angles (deg): 90.00 90.00 148.53
Fractional positions:
Li1 0.000 0.500 0.500
Br1 0.500 0.000 0.500
P1 0.500 0.500 0.000
P2 0.000 0.000 0.000

***

No. 10
Here is a geometry-optimized CuIrRu2 structure from Alexandria via LeMat-Bulk. Energies are from PBE.

Results
E above lowest polymorph: 65 meV/atom
ΔE_f: 0.194 eV/atom

a b c (Å): 4.732 4.732 4.732
angles (deg): 133.50 133.50 67.87
Fractional positions:
Ir1 0.750 0.250 0.500
Cu1 0.250 0.750 0.500
Ru1 0.000 0.000 0.000
Ru2 0.500 0.500 0.000

***

No. 11
Here is a geometry-optimized HfTiAlMo structure from Alexandria via LeMat-Bulk. Energies are from PBE.

Results
E above lowest polymorph: 66 meV/atom
ΔE_f: -0.247 eV/atom

a b c (Å): 4.615 4.615 4.615
angles (deg): 60.00 60.00 60.00
Fractional positions:
Ti1 0.250 0.250 0.250
Hf1 0.750 0.750 0.750
Mo1 0.500 0.500 0.500
Al1 0.000 0.000 0.000

***

No. 12
Here is a geometry-optimized NaTh2Tl structure from Alexandria via LeMat-Bulk. Energies are from PBE.

Results
ΔE_f: 0.193 eV/atom

a b c (Å): 3.399 3.399 13.037
angles (deg): 82.51 82.51 60.00
Fractional positions:
Th1 0.092 0.092 0.723
Na1 0.000 0.000 0.000
Th2 0.908 0.908 0.277
Tl1 0.500 0.500 0.500

***

Number 10 is which compound? CuIrRu2